Material: SbAu3N
Method: DFT, PBE
State: optimized geometry

## Properties
Energy relative to the elements, uncorrected in kJ/mol of atoms: 77.9
Space group: Pm-3m

a = 4.5280 Å, b = 4.5280 Å, c = 4.5280 Å
α = 90.00°, β = 90.00°, γ = 90.00°
Positions (direct):
N 0.0000 0.0000 0.0000
Au 0.0000 0.0000 0.5000
Au 0.0000 0.5000 0.0000
Au 0.5000 0.0000 0.0000
Sb 0.5000 0.5000 0.5000

Material: PrPaNi2
Method: DFT, PBE
State: optimized geometry

## Properties
Formation energy from the elements in eV per atom: -0.0708
Space group: Fm-3m

a = 4.8443 Å, b = 4.8443 Å, c = 4.8443 Å
α = 60.00°, β = 60.00°, γ = 60.00°
Positions (direct):
Pr 0.0000 0.0000 0.0000
Ni 0.7500 0.7500 0.7500
Ni 0.2500 0.2500 0.2500
Pa 0.5000 0.5000 0.5000

| no. | E above lowest polymorph (eV/atom) |
| --- | --- |
| 1 | 0.000 |
| 2 | 0.183 |